Arrangement a

Material: AgPSCl2
Method: DFT, PBE-GGA
State: optimized geometry

a b c (Å): 4.8170 4.8170 5.1912
angles (deg): 90.00 90.00 90.00
Closest atoms and distances in Å follow each position.
Positions (direct):
1 Ag 0.0000 0.0000 0.0000  4 Cl 2.41, 2 S 2.60
2 P 0.5000 0.5000 0.5000  4 S 3.41, 8 Cl 3.54
3 Cl 0.5000 0.0000 0.0000  2 Ag 2.41
4 Cl 0.0000 0.5000 0.0000  2 Ag 2.41
5 S 0.0000 0.0000 0.5000  2 Ag 2.60

The value obtained for the total magnetization is 1.3 μB per formula unit. Its symmetry is No. 123.

=====

Arrangement b

Material: AgPSCl2
Method: DFT, PBE-GGA
State: optimized geometry

a b c (Å): 4.7505 4.7505 5.2980
angles (deg): 90.00 90.00 90.00
Closest atoms and distances in Å follow each position.
Positions (direct):
1 Cl 0.5000 0.0000 0.0000  2 Ag 2.38
2 Cl 0.0000 0.5000 0.0000  2 Ag 2.38
3 Ag 0.0000 0.0000 0.0000  4 Cl 2.38, 2 P 2.65
4 P 0.0000 0.0000 0.5000  2 Ag 2.65
5 S 0.5000 0.5000 0.5000  4 P 3.36, 8 Cl 3.56

The value obtained for the total magnetization is 0.7 μB per formula unit. Its symmetry is No. 123.

=====

Going by the energies, arrangement a is most stable and the next is 109 meV per atom up.

=====

Arrangement a

Material: AgPSeCl2
Method: DFT, PBE-GGA
State: optimized geometry

a b c (Å): 5.2466 5.2466 4.7515
angles (deg): 90.00 90.00 90.00
Closest atoms and distances in Å follow each position.
Positions (direct):
1 P 0.0000 0.0000 0.5000  2 Se 2.38
2 Ag 0.5000 0.5000 0.5000  8 Cl 3.54, 4 P 3.71
3 Se 0.0000 0.0000 0.0000  2 P 2.38, 4 Cl 2.62
4 Cl 0.0000 0.5000 0.0000  2 Se 2.62
5 Cl 0.5000 0.0000 0.0000  2 Se 2.62

The value obtained for the total magnetization is 0.0 μB per formula unit. Its symmetry is No. 123.

=====

Arrangement b

Material: AgPSeCl2
Method: DFT, PBE-GGA
State: optimized geometry

a b c (Å): 4.8085 4.8085 5.3204
angles (deg): 90.00 90.00 90.00
Closest atoms and distances in Å follow each position.
Positions (direct):
1 Se 0.5000 0.5000 0.5000  4 P 3.40, 8 Cl 3.59
2 P 0.0000 0.0000 0.5000  2 Ag 2.66
3 Cl 0.5000 0.0000 0.0000  2 Ag 2.40
4 Cl 0.0000 0.5000 0.0000  2 Ag 2.40
5 Ag 0.0000 0.0000 0.0000  4 Cl 2.40, 2 P 2.66

The value obtained for the total magnetization is 0.5 μB per formula unit. Its symmetry is No. 123.

=====

Going by the energies, arrangement a is most stable and the next is 89 meV per atom up.

=====

Arrangement a

Material: AgSnPCl2
Method: DFT, PBE-GGA
State: optimized geometry

a b c (Å): 5.2154 5.2154 5.2750
angles (deg): 90.00 90.00 90.00
Closest atoms and distances in Å follow each position.
Positions (direct):
1 P 0.0000 0.0000 0.5000  2 Sn 2.64
2 Sn 0.0000 0.0000 0.0000  4 Cl 2.61, 2 P 2.64
3 Cl 0.5000 0.0000 0.0000  2 Sn 2.61
4 Cl 0.0000 0.5000 0.0000  2 Sn 2.61
5 Ag 0.5000 0.5000 0.5000  4 P 3.69, 8 Cl 3.71

The value obtained for the total magnetization is 0.9 μB per formula unit. Its symmetry is No. 123.

=====

Arrangement b

Material: AgSnPCl2
Method: DFT, PBE-GGA
State: optimized geometry

a b c (Å): 4.9421 4.9421 5.0918
angles (deg): 90.00 90.00 90.00
Closest atoms and distances in Å follow each position.
Positions (direct):
1 Ag 0.0000 0.0000 0.0000  4 Cl 2.47, 2 P 2.55
2 Cl 0.0000 0.5000 0.0000  2 Ag 2.47
3 Cl 0.5000 0.0000 0.0000  2 Ag 2.47
4 Sn 0.5000 0.5000 0.5000  4 P 3.49, 8 Cl 3.55
5 P 0.0000 0.0000 0.5000  2 Ag 2.55

The value obtained for the total magnetization is 0.2 μB per formula unit. Its symmetry is No. 123.

=====

Going by the energies, arrangement a is most stable and the next is 14 meV per atom up.

=====

Arrangement a

Material: TaAgPCl2
Method: DFT, PBE-GGA
State: optimized geometry

a b c (Å): 4.7240 4.7240 5.1700
angles (deg): 90.00 90.00 90.00
Closest atoms and distances in Å follow each position.
Positions (direct):
1 Cl 0.5000 0.0000 0.0000  2 Ag 2.36
2 Cl 0.0000 0.5000 0.0000  2 Ag 2.36
3 Ta 0.5000 0.5000 0.5000  4 P 3.34, 8 Cl 3.50
4 Ag 0.0000 0.0000 0.0000  4 Cl 2.36, 2 P 2.58
5 P 0.0000 0.0000 0.5000  2 Ag 2.58

The value obtained for the total magnetization is 2.2 μB per formula unit. Its symmetry is No. 123.

=====

Arrangement b

Material: TaAgPCl2
Method: DFT, PBE-GGA
State: optimized geometry

a b c (Å): 4.7955 4.7955 4.9785
angles (deg): 90.00 90.00 90.00
Closest atoms and distances in Å follow each position.
Positions (direct):
1 Ta 0.0000 0.0000 0.0000  4 Cl 2.40, 2 P 2.49
2 Cl 0.5000 0.0000 0.0000  2 Ta 2.40
3 Cl 0.0000 0.5000 0.0000  2 Ta 2.40
4 Ag 0.5000 0.5000 0.5000  4 P 3.39, 8 Cl 3.46
5 P 0.0000 0.0000 0.5000  2 Ta 2.49

The value obtained for the total magnetization is 0.0 μB per formula unit. Its symmetry is No. 123.

=====

Going by the energies, arrangement b is most stable and the next is 1184 meV per atom up.

=====

Arrangement a

Material: TaAgP2Cl
Method: DFT, PBE-GGA
State: optimized geometry

a b c (Å): 4.8538 4.8538 4.8545
angles (deg): 90.00 90.00 90.00
Closest atoms and distances in Å follow each position.
Positions (direct):
1 P 0.0000 0.5000 0.0000  2 Ta 2.43
2 P 0.5000 0.0000 0.0000  2 Ta 2.43
3 Ag 0.5000 0.5000 0.5000  4 Cl 3.43, 8 P 3.43
4 Ta 0.0000 0.0000 0.0000  4 P 2.43, 2 Cl 2.43
5 Cl 0.0000 0.0000 0.5000  2 Ta 2.43

The value obtained for the total magnetization is 0.0 μB per formula unit. Its symmetry is No. 123.

=====

Arrangement b

Material: TaAgP2Cl
Method: DFT, PBE-GGA
State: optimized geometry

a b c (Å): 4.7526 4.7526 4.6479
angles (deg): 90.00 90.00 90.00
Closest atoms and distances in Å follow each position.
Positions (direct):
1 P 0.0000 0.5000 0.0000  2 Ag 2.38
2 P 0.5000 0.0000 0.0000  2 Ag 2.38
3 Ag 0.0000 0.0000 0.0000  2 Cl 2.32, 4 P 2.38
4 Ta 0.5000 0.5000 0.5000  8 P 3.32, 4 Cl 3.36
5 Cl 0.0000 0.0000 0.5000  2 Ag 2.32

The value obtained for the total magnetization is 0.0 μB per formula unit. Its symmetry is No. 123.

=====

Going by the energies, arrangement a is most stable and the next is 1186 meV per atom up.

=====

Arrangement a

Material: AgTePCl2
Method: DFT, PBE-GGA
State: optimized geometry

a b c (Å): 5.4759 5.4759 4.9786
angles (deg): 90.00 90.00 90.00
Closest atoms and distances in Å follow each position.
Positions (direct):
1 Cl 0.0000 0.5000 0.0000  2 Te 2.74
2 Cl 0.5000 0.0000 0.0000  2 Te 2.74
3 Ag 0.5000 0.5000 0.5000  8 Cl 3.70, 4 P 3.87
4 Te 0.0000 0.0000 0.0000  2 P 2.49, 4 Cl 2.74
5 P 0.0000 0.0000 0.5000  2 Te 2.49

The value obtained for the total magnetization is 0.0 μB per formula unit. Its symmetry is No. 123.

=====

Arrangement b

Material: AgTePCl2
Method: DFT, PBE-GGA
State: optimized geometry

a b c (Å): 4.8075 4.8075 5.4054
angles (deg): 90.00 90.00 90.00
Closest atoms and distances in Å follow each position.
Positions (direct):
1 Cl 0.0000 0.5000 0.0000  2 Ag 2.40
2 Cl 0.5000 0.0000 0.0000  2 Ag 2.40
3 P 0.0000 0.0000 0.5000  2 Ag 2.70
4 Ag 0.0000 0.0000 0.0000  4 Cl 2.40
5 Te 0.5000 0.5000 0.5000  4 P 3.40, 8 Cl 3.62

The value obtained for the total magnetization is 0.7 μB per formula unit. Its symmetry is No. 123.

=====

Going by the energies, arrangement a is most stable and the next is 6 meV per atom up.